Computed, not measured: KWS2 after structural relaxation at the PBE-GGA level of DFT.

Cell lengths 6.5004, 6.5004, 6.5004 Å; angles 90.00, 90.00, 90.00 degrees
Last column: nearest neighbours and their distance in Å.
Fractional coordinates of all 16 atoms:
1 K 0.0000 0.0000 0.0000  8 S 2.81
2 K 0.0000 0.5000 0.5000  8 S 2.81
3 K 0.5000 0.0000 0.5000  8 S 2.81
4 K 0.5000 0.5000 0.0000  8 S 2.81
5 W 0.0000 0.0000 0.5000  8 S 2.81
6 W 0.0000 0.5000 0.0000  8 S 2.81
7 W 0.5000 0.0000 0.0000  8 S 2.81
8 W 0.5000 0.5000 0.5000  8 S 2.81
9 S 0.2500 0.2500 0.2500  4 W 2.81, 4 K 2.81
10 S 0.2500 0.2500 0.7500  4 W 2.81, 4 K 2.81
11 S 0.2500 0.7500 0.2500  4 W 2.81, 4 K 2.81
12 S 0.2500 0.7500 0.7500  4 W 2.81, 4 K 2.81
13 S 0.7500 0.2500 0.2500  4 W 2.81, 4 K 2.81
14 S 0.7500 0.2500 0.7500  4 W 2.81, 4 K 2.81
15 S 0.7500 0.7500 0.2500  4 W 2.81, 4 K 2.81
16 S 0.7500 0.7500 0.7500  4 W 2.81, 4 K 2.81

## Properties
Energy = -5.2514 eV/atom
Distance to the lowest polymorph of the same formula = 665.5 meV per atom
Raw formation energy = 325 meV per atom